A geometry-optimized Na3SrZn structure, computed with PBE.

abc: 5.7538 5.7538 5.7538
angles: 90.00 90.00 90.00
Fractional positions:
Na 0.0000 0.0000 0.5000
Na 0.0000 0.5000 0.0000
Na 0.5000 0.0000 0.0000
Sr 0.5000 0.5000 0.5000
Zn 0.0000 0.0000 0.0000

Properties
Symmetry: No. 221
Formation energy, eV per formula unit: 0.719
Final energy, eV for the cell shown: -6.19

=====

A geometry-optimized SmHoGa2Ir2 structure, computed with PBE.

abc: 4.4105 4.4105 7.1424
angles: 90.00 90.00 120.00
Fractional positions:
Sm 0.0000 0.0000 0.0000
Ho 0.0000 0.0000 0.5000
Ga 0.3333 0.6667 0.2657
Ga 0.6667 0.3333 0.7343
Ir 0.3333 0.6667 0.7352
Ir 0.6667 0.3333 0.2648

Properties
Symmetry: No. 164
Formation energy, eV per formula unit: -4.687
Final energy, eV for the cell shown: -37.76

=====

A geometry-optimized KNbGa2Br structure, computed with PBE.

abc: 4.9804 4.9804 10.9938
angles: 90.00 90.00 90.00
Fractional positions:
K 0.0000 0.0000 0.0000
Nb 0.0000 0.0000 0.5000
Ga 0.0000 0.5000 0.5000
Ga 0.5000 0.0000 0.5000
Br 0.5000 0.5000 0.0000

Properties
Symmetry: No. 123
Final energy, eV for the cell shown: -16.98
Formation energy (no corrections), eV per atom: 0.383

=====

A geometry-optimized Cd3TcHg structure, computed with PBE.

abc: 5.3810 5.3810 5.3810
angles: 90.00 90.00 90.00
Fractional positions:
Cd 0.0000 0.0000 0.5000
Cd 0.0000 0.5000 0.0000
Cd 0.5000 0.0000 0.0000
Tc 0.0000 0.0000 0.0000
Hg 0.5000 0.5000 0.5000

Properties
Symmetry: No. 221
Formation energy, eV per formula unit: 3.782
Final energy, eV for the cell shown: -9.63

=====

A geometry-optimized Tm2TlSn structure, computed with PBE.

abc: 3.7307 3.7307 27.8080
angles: 90.00 90.00 120.00
Fractional positions:
Tm 0.0000 0.0000 0.2485
Tm 0.0000 0.0000 0.7515
Tm 0.3333 0.6667 0.4182
Tm 0.3333 0.6667 0.9151
Tm 0.6667 0.3333 0.0849
Tm 0.6667 0.3333 0.5818
Tl 0.0000 0.0000 0.0000
Tl 0.3333 0.6667 0.6667
Tl 0.6667 0.3333 0.3333
Sn 0.0000 0.0000 0.5000
Sn 0.3333 0.6667 0.1667
Sn 0.6667 0.3333 0.8333

Properties
Symmetry: No. 166
Formation energy, eV per formula unit: -1.441
Final energy, eV for the cell shown: -50.26

=====

A geometry-optimized K2CoSb structure, computed with PBE.

abc: 7.5536 7.5536 7.5536
angles: 90.00 90.00 90.00
Fractional positions:
K 0.0000 0.0000 0.0000
K 0.0000 0.5000 0.5000
K 0.2500 0.2500 0.2500
K 0.2500 0.7500 0.7500
K 0.5000 0.0000 0.5000
K 0.5000 0.5000 0.0000
K 0.7500 0.2500 0.7500
K 0.7500 0.7500 0.2500
Co 0.0000 0.0000 0.5000
Co 0.0000 0.5000 0.0000
Co 0.5000 0.0000 0.0000
Co 0.5000 0.5000 0.5000
Sb 0.2500 0.2500 0.7500
Sb 0.2500 0.7500 0.2500
Sb 0.7500 0.2500 0.2500
Sb 0.7500 0.7500 0.7500

Properties
Symmetry: No. 216
Final energy, eV for the cell shown: -47.56
Formation energy (no corrections), eV per atom: 0.383

=====

A geometry-optimized Ce2YPbC structure, computed with PBE.

abc: 4.9828 4.9828 4.9949
angles: 90.00 90.00 90.00
Fractional positions:
Ce 0.0000 0.5000 0.0000
Ce 0.5000 0.0000 0.0000
Y 0.0000 0.0000 0.5000
Pb 0.5000 0.5000 0.5000
C 0.0000 0.0000 0.0000

Properties
Symmetry: No. 123
Formation energy, eV per formula unit: -2.095
Final energy, eV for the cell shown: -33.36

=====

A geometry-optimized Sr2RhI structure, computed with PBE.

abc: 7.7832 7.7832 7.7832
angles: 90.00 90.00 90.00
Fractional positions:
Sr 0.2500 0.2500 0.2500
Sr 0.2500 0.2500 0.7500
Sr 0.2500 0.7500 0.2500
Sr 0.2500 0.7500 0.7500
Sr 0.7500 0.2500 0.2500
Sr 0.7500 0.2500 0.7500
Sr 0.7500 0.7500 0.2500
Sr 0.7500 0.7500 0.7500
Rh 0.0000 0.0000 0.0000
Rh 0.0000 0.5000 0.5000
Rh 0.5000 0.0000 0.5000
Rh 0.5000 0.5000 0.0000
I 0.0000 0.0000 0.5000
I 0.0000 0.5000 0.0000
I 0.5000 0.0000 0.0000
I 0.5000 0.5000 0.5000

Properties
Symmetry: No. 225
Final energy, eV for the cell shown: -56.66
Formation energy (no corrections), eV per atom: -0.475

=====

A geometry-optimized Cs2Sn3S4 structure, computed with PBE.

abc: 9.6865 9.6865 7.1827
angles: 96.41 96.41 89.61
Fractional positions:
Cs 0.0507 0.3080 0.2661
Cs 0.3080 0.0507 0.7661
Cs 0.6920 0.9493 0.2339
Cs 0.9493 0.6920 0.7339
Sn 0.2301 0.7699 0.2500
Sn 0.3098 0.5113 0.9364
Sn 0.4887 0.6902 0.5636
Sn 0.5113 0.3098 0.4364
Sn 0.6902 0.4887 0.0636
Sn 0.7699 0.2301 0.7500
S 0.0150 0.2790 0.7544
S 0.2790 0.0150 0.2544
S 0.3200 0.4763 0.5588
S 0.4763 0.3200 0.0588
S 0.5237 0.6800 0.9412
S 0.6800 0.5237 0.4412
S 0.7210 0.9850 0.7456
S 0.9850 0.7210 0.2456

Properties
Symmetry: No. 15
Final energy, eV for the cell shown: -71.81
Formation energy (no corrections), eV per atom: -0.631

=====

A geometry-optimized SmDy2Sc structure, computed with PBE.

abc: 4.9199 4.9199 4.9768
angles: 90.00 90.00 90.00
Fractional positions:
Sm 0.0000 0.0000 0.0000
Dy 0.0000 0.5000 0.5000
Dy 0.5000 0.0000 0.5000
Sc 0.5000 0.5000 0.0000

Properties
Symmetry: No. 123
Formation energy, eV per formula unit: 0.163
Final energy, eV for the cell shown: -20.09

=====

A geometry-optimized Ba2InAgP structure, computed with PBE.

abc: 6.2253 6.2253 5.0416
angles: 90.00 90.00 90.00
Fractional positions:
Ba 0.0000 0.5000 0.0000
Ba 0.5000 0.0000 0.0000
In 0.0000 0.0000 0.5000
Ag 0.5000 0.5000 0.5000
P 0.0000 0.0000 0.0000

Properties
Symmetry: No. 123
Formation energy, eV per formula unit: -1.431
Final energy, eV for the cell shown: -16.28

=====

A geometry-optimized K2YMgGe structure, computed with PBE.

abc: 6.4130 6.4130 4.9045
angles: 90.00 90.00 90.00
Fractional positions:
K 0.0000 0.5000 0.0000
K 0.5000 0.0000 0.0000
Y 0.0000 0.0000 0.5000
Mg 0.5000 0.5000 0.0000
Ge 0.5000 0.5000 0.5000

Properties
Symmetry: No. 123
Formation energy, eV per formula unit: 3.186
Final energy, eV for the cell shown: -11.69

=====

A geometry-optimized InAsP2 structure, computed with PBE.

abc: 5.9620 9.4241 2.8226
angles: 90.00 109.92 90.00
Fractional positions:
In 0.0000 0.0000 0.0000
In 0.5000 0.5000 0.0000
As 0.0000 0.5000 0.0000
As 0.5000 0.0000 0.0000
P 0.2500 0.2500 0.5000
P 0.2500 0.7500 0.5000
P 0.7500 0.2500 0.5000
P 0.7500 0.7500 0.5000

Properties
Symmetry: No. 12
Formation energy, eV per formula unit: 2.276
Final energy, eV for the cell shown: -31.86

=====

A geometry-optimized Er5ZrBi6 structure, computed with PBE.

abc: 7.6343 7.6343 7.6334
angles: 99.64 99.64 119.97
Fractional positions:
Er 0.0000 0.0000 0.0000
Er 0.1653 0.8347 0.5000
Er 0.3299 0.6701 0.0000
Er 0.6701 0.3299 0.0000
Er 0.8347 0.1653 0.5000
Zr 0.5000 0.5000 0.5000
Bi 0.0917 0.4189 0.2552
Bi 0.2571 0.2571 0.7489
Bi 0.4189 0.0917 0.2552
Bi 0.5811 0.9083 0.7448
Bi 0.7429 0.7429 0.2511
Bi 0.9083 0.5811 0.7448

Properties
Symmetry: No. 12
Formation energy, eV per formula unit: -8.458
Final energy, eV for the cell shown: -63.11

=====

A geometry-optimized Pu2Ga6CoOs structure, computed with PBE.

abc: 6.5715 6.5715 6.5715
angles: 60.00 60.00 60.00
Fractional positions:
Pu 0.2500 0.2500 0.2500
Pu 0.7500 0.7500 0.7500
Ga 0.2414 0.2414 0.7586
Ga 0.2414 0.7586 0.2414
Ga 0.2414 0.7586 0.7586
Ga 0.7586 0.2414 0.2414
Ga 0.7586 0.2414 0.7586
Ga 0.7586 0.7586 0.2414
Co 0.0000 0.0000 0.0000
Os 0.5000 0.5000 0.5000

Properties
Symmetry: No. 225
Formation energy, eV per formula unit: -1.845
Final energy, eV for the cell shown: -67.01

=====

A geometry-optimized Dy2YPd3 structure, computed with PBE.

abc: 7.4910 7.4910 7.4910
angles: 109.39 90.07 131.82
Fractional positions:
Dy 0.3331 0.2498 0.0833
Dy 0.3335 0.7502 0.5833
Dy 0.6665 0.2498 0.4167
Dy 0.6669 0.7502 0.9167
Y 0.0005 0.2505 0.7500
Y 0.9995 0.7495 0.2500
Pd 0.0000 0.2501 0.2501
Pd 0.0000 0.7499 0.7499
Pd 0.5000 0.0000 0.0000
Pd 0.5000 0.2501 0.7501
Pd 0.5000 0.5000 0.5000
Pd 0.5000 0.7499 0.2499

Properties
Symmetry: No. 74
Formation energy, eV per formula unit: -3.359
Final energy, eV for the cell shown: -69.21